Entry 1:
Density functional theory data (PBE) for TbCe2PmSe4 after structural relaxation.

Computed properties:
Fermi-level density of states, states/eV/cell: 13.52
Symmetry: P2/m
Total DFT energy (no corrections), eV per atom: -6.215
Formation energy (no corrections), eV per atom: -1.817

abc: 4.155 7.242 7.239
angles: 70.79 90.00 90.00
Last column: magnetic moment on the atom in μB.
Element x y z (fractional)
Tb (0.000, 0.500, 0.500)  -0.01
Ce (0.000, 0.000, 0.000)  0.80
Ce (0.500, 0.000, 0.500)  -0.72
Pm (0.500, 0.500, 0.000)  0.01
Se (0.000, 0.746, 0.747)  0.00
Se (0.000, 0.254, 0.253)  0.00
Se (0.500, 0.743, 0.257)  0.00
Se (0.500, 0.257, 0.743)  0.00



Entry 2:
Density functional theory data (PBE) for TbCePmSe3 after structural relaxation.

Computed properties:
Fermi-level density of states, states/eV/cell: 14.73
Symmetry: P2_1/m
Total DFT energy (no corrections), eV per atom: -5.989
Formation energy (no corrections), eV per atom: -1.694

abc: 4.023 7.315 10.821
angles: 102.70 90.00 90.00
Last column: magnetic moment on the atom in μB.
Element x y z (fractional)
Tb (0.250, 0.764, 0.057)  0.07
Tb (0.750, 0.236, 0.943)  0.07
Ce (0.250, 0.120, 0.628)  1.02
Ce (0.750, 0.880, 0.372)  1.02
Pm (0.750, 0.656, 0.702)  0.01
Pm (0.250, 0.344, 0.298)  0.01
Se (0.250, 0.707, 0.507)  -0.01
Se (0.750, 0.056, 0.154)  0.00
Se (0.750, 0.545, 0.160)  0.00
Se (0.750, 0.293, 0.493)  -0.01
Se (0.250, 0.455, 0.840)  0.00
Se (0.250, 0.944, 0.846)  0.00



Entry 3:
Density functional theory data (PBE) for CePmTe2Se after structural relaxation.

Computed properties:
Fermi-level density of states, states/eV/cell: 16.19
Symmetry: P4/nmm
Total DFT energy (no corrections), eV per atom: -5.481
Formation energy (no corrections), eV per atom: -1.391

abc: 4.431 4.431 15.829
angles: 90.00 90.00 90.00
Last column: magnetic moment on the atom in μB.
Element x y z (fractional)
Ce (0.500, 0.000, 0.096)  0.98
Ce (0.000, 0.500, 0.904)  0.98
Pm (0.500, 0.000, 0.628)  0.00
Pm (0.000, 0.500, 0.372)  0.00
Te (0.000, 0.500, 0.704)  -0.01
Te (0.000, 0.500, 0.110)  -0.03
Te (0.500, 0.000, 0.890)  -0.03
Te (0.500, 0.000, 0.296)  -0.01
Se (0.000, 0.000, 0.500)  0.00
Se (0.500, 0.500, 0.500)  0.00



Entry 4:
Density functional theory data (PBE) for CePmTeSe2 after structural relaxation.

Computed properties:
Fermi-level density of states, states/eV/cell: 6.25
Symmetry: I4mm
Total DFT energy (no corrections), eV per atom: -5.540
Formation energy (no corrections), eV per atom: -1.381

abc: 4.666 4.666 7.879
angles: 107.22 107.22 90.00
Last column: magnetic moment on the atom in μB.
Element x y z (fractional)
Ce (0.133, 0.133, 0.266)  0.87
Pm (0.866, 0.866, 0.731)  0.06
Te (0.501, 0.501, 0.002)  -0.02
Se (0.750, 0.250, 0.500)  -0.03
Se (0.250, 0.750, 0.500)  -0.03



Q: Among the records above, which one has the lowest formation energy (no corrections)?
A: TbCe2PmSe4



Q: Which of these has the highest total DFT energy (no corrections)?
A: CePmTe2Se



Q: Look up the formation energy (no corrections) of the third one.
A: -1.391 eV per atom



Please write out number 3 again, unchanged.
Density functional theory data (PBE) for CePmTe2Se after structural relaxation.

Computed properties:
Fermi-level density of states, states/eV/cell: 16.19
Symmetry: P4/nmm
Total DFT energy (no corrections), eV per atom: -5.481
Formation energy (no corrections), eV per atom: -1.391

abc: 4.431 4.431 15.829
angles: 90.00 90.00 90.00
Last column: magnetic moment on the atom in μB.
Element x y z (fractional)
Ce (0.500, 0.000, 0.096)  0.98
Ce (0.000, 0.500, 0.904)  0.98
Pm (0.500, 0.000, 0.628)  0.00
Pm (0.000, 0.500, 0.372)  0.00
Te (0.000, 0.500, 0.704)  -0.01
Te (0.000, 0.500, 0.110)  -0.03
Te (0.500, 0.000, 0.890)  -0.03
Te (0.500, 0.000, 0.296)  -0.01
Se (0.000, 0.000, 0.500)  0.00
Se (0.500, 0.500, 0.500)  0.00